The following is a DFT calculation (PBE) of Co2P2H after structural relaxation.

- Total magnetization: 0.0000 μB/atom
- Total DFT energy (no corrections): -58.79 eV per cell
- DOS(E_F): 2.7 states/eV/cell

Unit cell a=4.7568 b=3.7037 c=6.2736 alpha=90.00 beta=93.02 gamma=90.00
Atoms (fractional coordinates):
Co 0.2496 0.0000 0.5699
Co 0.2496 0.5000 0.0699
Co 0.5672 0.0000 0.9368
Co 0.5672 0.5000 0.4368
P 0.5201 0.0000 0.2722
P 0.5201 0.5000 0.7722
P 0.0338 0.0000 0.9320
P 0.0338 0.5000 0.4320
H 0.9648 0.0000 0.6824
H 0.9648 0.5000 0.1824